[1]
# AcDy4Zn

AcDy4Zn after structural relaxation (PBE-GGA, the Alexandria database).

Unit cell a=3.646 b=3.646 c=13.805 alpha=90.00 beta=90.00 gamma=90.00
Atoms (fractional coordinates):
Ac (0.000, 0.000, 0.000)
Dy (0.500, 0.500, 0.196)
Dy (0.000, 0.000, 0.625)
Dy (0.000, 0.000, 0.375)
Dy (0.500, 0.500, 0.804)
Zn (0.500, 0.500, 0.500)

Uncorrected energy ... -4.0365 eV/atom
Space group ... No. 123


[2]
# Ac2Tb3Tl4

Ac2Tb3Tl4 after structural relaxation (PBE-GGA, the Alexandria database).

Unit cell a=8.297 b=8.605 c=8.601 alpha=90.00 beta=90.00 gamma=108.36
Atoms (fractional coordinates):
Ac (0.566, 0.190, 0.321)
Ac (0.934, 0.810, 0.821)
Ac (0.434, 0.810, 0.679)
Ac (0.066, 0.190, 0.179)
Tb (0.000, 0.500, 0.500)
Tb (0.500, 0.500, 0.000)
Tb (0.750, 0.248, 0.835)
Tb (0.750, 0.752, 0.335)
Tb (0.250, 0.752, 0.165)
Tb (0.250, 0.248, 0.665)
Tl (0.857, 0.083, 0.541)
Tl (0.643, 0.917, 0.041)
Tl (0.143, 0.917, 0.459)
Tl (0.357, 0.083, 0.959)
Tl (0.867, 0.501, 0.128)
Tl (0.633, 0.499, 0.628)
Tl (0.133, 0.499, 0.872)
Tl (0.367, 0.501, 0.372)

E above lowest polymorph ... 0 meV per atom
Space group ... No. 14


[3]
# Ba2CdAg6Au

Ba2CdAg6Au after structural relaxation (PBE-GGA, the Alexandria database).

Unit cell a=7.575 b=7.471 c=7.466 alpha=43.86 beta=80.84 gamma=96.70
Atoms (fractional coordinates):
Ba (0.692, 0.235, 0.543)
Ba (0.308, 0.765, 0.457)
Cd (0.000, 0.000, 0.000)
Ag (0.235, 0.239, 0.500)
Ag (0.919, 0.749, 0.830)
Ag (0.235, 0.735, 0.004)
Ag (0.765, 0.265, 0.996)
Ag (0.081, 0.251, 0.170)
Ag (0.765, 0.761, 0.500)
Au (0.500, 0.500, 0.000)

Uncorrected energy ... -2.6987 eV/atom
Space group ... No. 2


[4]
# KCdAg2

KCdAg2 after structural relaxation (PBE-GGA, the Alexandria database).

Unit cell a=5.370 b=5.370 c=3.312 alpha=90.00 beta=90.00 gamma=90.00
Atoms (fractional coordinates):
Ag (0.000, 0.000, 0.000)
Ag (0.500, 0.500, 0.000)
Cd (0.500, 0.000, 0.500)
K (0.000, 0.500, 0.500)

E above lowest polymorph ... 206 meV per atom
Space group ... No. 123


[5]
# Dy8CdIr2

Dy8CdIr2 after structural relaxation (PBE-GGA, the Alexandria database).

Unit cell a=5.491 b=7.904 c=7.904 alpha=113.27 beta=97.24 gamma=97.24
Atoms (fractional coordinates):
Dy (0.578, 0.332, 0.071)
Dy (0.578, 0.071, 0.332)
Dy (0.199, 0.388, 0.388)
Dy (0.000, 0.252, 0.754)
Dy (0.000, 0.754, 0.252)
Dy (0.801, 0.619, 0.619)
Dy (0.421, 0.935, 0.674)
Dy (0.421, 0.674, 0.935)
Cd (0.000, 0.003, 0.003)
Ir (0.500, 0.693, 0.313)
Ir (0.500, 0.313, 0.693)

Uncorrected energy ... -5.4243 eV/atom
Space group ... No. 12


[6]
# ScAu

ScAu after structural relaxation (PBE-GGA, the Alexandria database).

Unit cell a=11.053 b=8.351 c=7.423 alpha=90.00 beta=90.00 gamma=90.00
Atoms (fractional coordinates):
Sc (0.000, 0.203, 0.000)
Sc (0.000, 0.797, 0.000)
Sc (0.250, 0.547, 0.250)
Sc (0.250, 0.953, 0.250)
Sc (0.000, 0.703, 0.500)
Sc (0.000, 0.297, 0.500)
Sc (0.250, 0.047, 0.750)
Sc (0.250, 0.453, 0.750)
Sc (0.500, 0.203, 0.500)
Sc (0.500, 0.797, 0.500)
Sc (0.750, 0.547, 0.750)
Sc (0.750, 0.953, 0.750)
Sc (0.500, 0.703, 0.000)
Sc (0.500, 0.297, 0.000)
Sc (0.750, 0.047, 0.250)
Sc (0.750, 0.453, 0.250)
Au (0.000, 0.000, 0.305)
Au (0.000, 0.000, 0.695)
Au (0.250, 0.750, 0.945)
Au (0.250, 0.750, 0.555)
Au (0.000, 0.500, 0.805)
Au (0.000, 0.500, 0.195)
Au (0.250, 0.250, 0.445)
Au (0.250, 0.250, 0.055)
Au (0.500, 0.000, 0.805)
Au (0.500, 0.000, 0.195)
Au (0.750, 0.750, 0.445)
Au (0.750, 0.750, 0.055)
Au (0.500, 0.500, 0.305)
Au (0.500, 0.500, 0.695)
Au (0.750, 0.250, 0.945)
Au (0.750, 0.250, 0.555)

Uncorrected energy ... -5.4691 eV/atom
Space group ... No. 70


[7]
# Cs2TlTeI6

Cs2TlTeI6 after structural relaxation (PBE-GGA, the Alexandria database).

Unit cell a=8.967 b=8.967 c=8.914 alpha=59.80 beta=59.80 gamma=90.00
Atoms (fractional coordinates):
Cs (0.750, 0.250, 0.500)
Cs (0.250, 0.750, 0.500)
I (0.264, 0.264, 0.471)
I (0.736, 0.736, 0.529)
I (0.251, 0.251, 0.000)
I (0.749, 0.749, 0.000)
I (0.749, 0.251, 0.000)
I (0.251, 0.749, 0.000)
Tl (0.000, 0.000, 0.000)
Te (0.500, 0.500, 0.000)

Uncorrected formation energy ... -0.76 eV per atom
Space group ... No. 139


[8]
# CePmSn2

CePmSn2 after structural relaxation (PBE-GGA, the Alexandria database).

Unit cell a=3.505 b=3.505 c=9.066 alpha=90.00 beta=90.00 gamma=90.00
Last column: magnetic moment on the atom in μB.
Atoms (fractional coordinates):
Sn (0.000, 0.000, 0.750)  -0.01
Sn (0.000, 0.000, 0.250)  -0.01
Ce (0.500, 0.500, 0.000)  0.81
Pm (0.500, 0.500, 0.500)  -0.06

Uncorrected energy ... -5.3037 eV/atom
Space group ... No. 123


[9]
# CeTh3Ni8

CeTh3Ni8 after structural relaxation (PBE-GGA, the Alexandria database).

Unit cell a=5.161 b=5.161 c=8.933 alpha=73.21 beta=73.21 gamma=60.00
Atoms (fractional coordinates):
Ce (0.869, 0.869, 0.392)
Th (0.380, 0.380, 0.860)
Th (0.992, 0.992, 0.023)
Th (0.507, 0.507, 0.479)
Ni (0.943, 0.437, 0.184)
Ni (0.433, 0.939, 0.690)
Ni (0.437, 0.437, 0.184)
Ni (0.939, 0.939, 0.690)
Ni (0.188, 0.188, 0.437)
Ni (0.688, 0.688, 0.937)
Ni (0.437, 0.943, 0.184)
Ni (0.939, 0.433, 0.690)

Uncorrected energy ... -6.5693 eV/atom
Space group ... No. 160


[10]
# CePuAs2Pd2

CePuAs2Pd2 after structural relaxation (PBE-GGA, the Alexandria database).

Unit cell a=4.367 b=4.367 c=7.697 alpha=90.00 beta=90.00 gamma=120.00
Last column: magnetic moment on the atom in μB.
Atoms (fractional coordinates):
Ce (0.000, 0.000, 0.500)  0.53
Pu (0.000, 0.000, 0.000)  -5.27
As (0.333, 0.667, 0.255)  0.03
As (0.667, 0.333, 0.745)  0.03
Pd (0.333, 0.667, 0.756)  0.03
Pd (0.667, 0.333, 0.244)  0.03

Uncorrected energy ... -7.6297 eV/atom
Space group ... No. 164


[11]
# Hg2P

Hg2P after structural relaxation (PBE-GGA, the Alexandria database).

Unit cell a=3.768 b=7.805 c=10.076 alpha=90.00 beta=90.00 gamma=90.00
Atoms (fractional coordinates):
P (0.250, 0.756, 0.278)
P (0.750, 0.744, 0.778)
P (0.250, 0.256, 0.222)
P (0.750, 0.244, 0.722)
Hg (0.250, 0.997, 0.769)
Hg (0.750, 0.503, 0.269)
Hg (0.250, 0.497, 0.731)
Hg (0.750, 0.003, 0.231)
Hg (0.250, 0.194, 0.488)
Hg (0.750, 0.306, 0.988)
Hg (0.250, 0.694, 0.012)
Hg (0.750, 0.806, 0.512)

E above lowest polymorph ... 275 meV per atom
Space group ... No. 62


[12]
# Y2TePt2

Y2TePt2 after structural relaxation (PBE-GGA, the Alexandria database).

Unit cell a=8.149 b=8.149 c=3.615 alpha=90.00 beta=90.00 gamma=90.00
Atoms (fractional coordinates):
Y (0.337, 0.837, 0.000)
Y (0.837, 0.663, 0.000)
Y (0.663, 0.163, 0.000)
Y (0.163, 0.337, 0.000)
Te (0.000, 0.000, 0.000)
Te (0.500, 0.500, 0.000)
Pt (0.125, 0.625, 0.500)
Pt (0.625, 0.875, 0.500)
Pt (0.875, 0.375, 0.500)
Pt (0.375, 0.125, 0.500)

Uncorrected formation energy ... -1.01 eV per atom
E above lowest polymorph ... 157 meV per atom
Space group ... No. 127


Values of density, in order: 8.53 9.96 7.52 6.39 9.73 9.38 4.48 7.79 11.16 9.76 9.69 9.62, all in g/cm³.